1.
## AgIr (GGA-PBE)

Data for AgIr after structural relaxation.

Unit cell a=8.0460 b=8.0460 c=4.2778 alpha=90.00 beta=90.00 gamma=90.00
With the nearest neighbours (Å) after each atom.
Space group I4/mmm (No. 139)
Unique sites:
Ag (0.0000, 0.3153, 0.0000) (multiplicity 8)  6 Ir 2.78-2.79, 5 Ag 2.97-3.00
Ir (0.1555, 0.1555, 0.5000) (multiplicity 8)  2 Ir 2.50, 6 Ag 2.78-2.79

## Properties
N(E_F) ... 20.5 states/eV/cell
ΔE_f ... 112 kJ/mol of formula units
DFT total energy ... -5.275 eV/atom
Spin magnetization ... 0.11 μB per formula unit

***

2.
## AgIr (GGA-PBE)

Data for AgIr after structural relaxation.

Unit cell a=8.0557 b=8.0557 c=8.0557 alpha=90.00 beta=90.00 gamma=90.00
With the nearest neighbours (Å) after each atom.
Space group I-43m (No. 217)
Unique sites:
Ag (0.2049, 0.2049, 0.2049) (multiplicity 8)  4 Ir 2.57-2.76
Ir (0.1109, 0.1109, 0.8891) (multiplicity 8)  3 Ir 2.53, 4 Ag 2.57-2.76

## Properties
N(E_F) ... 23.0 states/eV/cell
ΔE_f ... 297 kJ/mol of formula units
DFT total energy ... -4.315 eV/atom
Spin magnetization ... 0.00 μB per formula unit

***

3.
## Ag2Ir (GGA-PBE)

Data for Ag2Ir after structural relaxation.

Unit cell a=6.6681 b=6.6681 c=4.9272 alpha=90.00 beta=90.00 gamma=90.00
With the nearest neighbours (Å) after each atom.
Space group I4/mcm (No. 140)
Unique sites:
Ag (0.1551, 0.3449, 0.0000) (multiplicity 8)  4 Ir 2.81, 3 Ag 2.92-3.05
Ir (0.0000, 0.0000, 0.2500) (multiplicity 4)  2 Ir 2.46

## Properties
Energy above the most stable polymorph in this dataset ... 0.55 eV per formula unit
N(E_F) ... 7.3 states/eV/cell
ΔE_f ... 129 kJ/mol of formula units
DFT total energy ... -4.410 eV/atom
Spin magnetization ... 0.00 μB per formula unit

***

4.
## AgIr8 (GGA-PBE)

Data for AgIr8 after structural relaxation.

Unit cell a=8.2869 b=8.2869 c=3.8936 alpha=90.00 beta=90.00 gamma=90.00
With the nearest neighbours (Å) after each atom.
Space group I4/mmm (No. 139)
Unique sites:
Ag (0.0000, 0.0000, 0.0000) (multiplicity 2)  12 Ir 2.79-2.81
Ir (0.0000, 0.3369, 0.0000) (multiplicity 8)  11 Ir 2.70-2.77, 1 Ag 2.79
Ir (0.1734, 0.1734, 0.5000) (multiplicity 8)  10 Ir 2.65-2.87, 2 Ag 2.81

## Properties
N(E_F) ... 20.1 states/eV/cell
ΔE_f ... 159 kJ/mol of formula units
DFT total energy ... -8.010 eV/atom
Spin magnetization ... 0.00 μB per formula unit